# 1
Density functional theory data (PBE) for a relaxed MgAl2Pt4 crystal.

Lattice parameters (Å, degrees): 5.250 5.250 5.250 112.29 108.08 108.08
Sites, in units of the cell vectors:
Mg1 0.000 0.000 0.000
Al1 0.500 0.500 0.000
Al2 0.500 0.000 0.500
Pt1 0.500 0.000 0.000
Pt2 0.500 0.500 0.500
Pt3 0.000 0.000 0.500
Pt4 0.000 0.500 0.000

The density of states at the Fermi level is 3.3 states/eV/f.u. For the energy of formation from the pure elements, the calculation gives -0.797 eV/atom.

---

# 2
Density functional theory data (PBE) for a relaxed CeHo2Zn crystal.

Lattice parameters (Å, degrees): 3.502 3.502 10.460 80.36 80.36 60.00
Last column: magnetic moment on the atom in μB.
Sites, in units of the cell vectors:
Zn1 0.000 0.000 0.000  0.00
Ho1 0.260 0.260 0.221  0.00
Ho2 0.740 0.740 0.779  0.00
Ce1 0.500 0.500 0.500  0.60

The value obtained for the energy above the most stable polymorph in this dataset is 85.5 meV per atom. The density of states at the Fermi level is 5.7 states/eV/f.u. For the energy of formation from the pure elements, the calculation gives -0.036 eV/atom.